# Tm2Al4CuAu3

A geometry-optimized Tm2Al4CuAu3 structure (PBE-GGA, the Alexandria database).

Computed properties:
The uncorrected energy comes out at -4.401 eV/atom. As for the crystal system: tetragonal. The density of states at the Fermi level is 3.18 states/eV per cell.

a = 4.190 Å, b = 4.190 Å, c = 10.815 Å
α = 90.00°, β = 90.00°, γ = 90.00°
Space group P-4m2 (No. 115)
One atom of each set of equivalent atoms:
Tm 0.000 0.500 0.242
Al 0.000 0.000 0.500
Al 0.000 0.500 0.871
Al 0.500 0.500 0.500
Cu 0.500 0.500 0.000
Au 0.000 0.000 0.000
Au 0.000 0.500 0.642